First-principles (PBE) data for a relaxed NaHgP2O6 crystal, as listed in Alexandria.

Energy relative to the elements, uncorrected in kJ per mole of atoms: -173.75

The structure in extended XYZ format:
```
20
Lattice="4.678 -0.245 -0.255 1.180 7.728 0.276 1.180 -0.011 7.733" Properties=species:S:1:pos:R:3 pbc="T T T"
Na 2.350 2.210 5.471
Na 4.688 5.262 2.283
Hg 2.350 7.079 0.779
Hg 4.688 0.393 6.975
P 2.710 6.107 4.968
P 1.989 2.856 1.595
P 4.327 1.365 2.786
P 5.049 4.616 6.159
O 2.937 7.348 5.802
O 1.762 2.069 0.324
O 4.100 0.124 1.952
O 5.276 5.403 7.430
O 2.968 6.140 3.501
O 1.731 4.323 1.616
O 4.070 1.332 4.253
O 5.306 3.148 6.138
O 5.864 5.316 4.912
O 3.513 2.637 2.132
O 1.174 2.156 2.842
O 3.525 4.834 5.622
```

First-principles (PBE) data for a relaxed SrCa3S crystal, as listed in Alexandria.

Energy relative to the elements, uncorrected in kJ per mole of atoms: 98.26
Energy above the most stable polymorph in this dataset in eV/atom: 1.715

The structure in extended XYZ format:
```
5
Lattice="6.763 0.000 0.000 0.000 6.763 0.000 0.000 0.000 6.763" Properties=species:S:1:pos:R:3 pbc="T T T"
Sr 0.000 0.000 0.000
Ca 0.000 3.382 0.000
Ca 0.000 0.000 3.382
Ca 3.382 0.000 0.000
S 3.382 3.382 3.382
```

First-principles (PBE) data for a relaxed KTc2As crystal, as listed in Alexandria.

Formation enthalpy at 0 K in eV per atom: 0.947

The structure in extended XYZ format:
```
4
Lattice="-1.475 3.016 -3.144 -3.199 -1.248 -3.060 -4.254 1.726 0.286" Properties=species:S:1:pos:R:3 pbc="T T T"
As -4.464 1.747 -2.959
K -6.696 2.621 -4.439
Tc 0.000 0.000 0.000
Tc -2.232 0.874 -1.480
```

Sequential M_tot output: 0.000, 0.000, 0.000 μB/atom